# 1
# CsCrCoSe3

A relaxed CsCrCoSe3 crystal (PBE, Alexandria).

Cell and atoms, written as CIF:
```
data_CsCrCoSe3
_chemical_formula_sum 'Cs2 Cr2 Co2 Se6'
_space_group_name_H-M_alt 'P 1 21/m 1'
_space_group_IT_number 11
_cell_length_a 9.255
_cell_length_b 3.803
_cell_length_c 9.969
_cell_angle_alpha 90.00
_cell_angle_beta 117.41
_cell_angle_gamma 90.00
loop_
_space_group_symop_operation_xyz
'x,y,z'
'-x,-y,-z'
'-x,y+1/2,-z'
'x,-y+1/2,z'
loop_
_atom_site_label
_atom_site_type_symbol
_atom_site_fract_x
_atom_site_fract_y
_atom_site_fract_z
Cs1 Cs 0.229 0.250 0.251
Cr1 Cr 0.324 0.750 0.853
Co1 Co 0.079 0.250 0.598
Se1 Se 0.140 0.250 0.855
Se2 Se 0.202 0.750 0.557
Se3 Se 0.484 0.750 0.137
```

Output
ΔE_f (raw)	-0.6046	eV/atom

---

# 2
# CrCo2Cu

A relaxed CrCo2Cu crystal (PBE, Alexandria).

Cell and atoms, written as CIF:
```
data_CrCo2Cu
_chemical_formula_sum 'Cr1 Co2 Cu1'
_space_group_name_H-M_alt 'P 4 m m'
_space_group_IT_number 99
_cell_length_a 2.961
_cell_length_b 2.961
_cell_length_c 5.315
_cell_angle_alpha 90.00
_cell_angle_beta 90.00
_cell_angle_gamma 90.00
loop_
_space_group_symop_operation_xyz
'x,y,z'
'-y,x,z'
'-x,-y,z'
'y,-x,z'
'-x,y,z'
'y,x,z'
'x,-y,z'
'-y,-x,z'
loop_
_atom_site_label
_atom_site_type_symbol
_atom_site_fract_x
_atom_site_fract_y
_atom_site_fract_z
Cr1 Cr 0.000 0.000 0.000
Co1 Co 0.000 0.000 0.523
Co2 Co 0.500 0.500 0.755
Cu1 Cu 0.500 0.500 0.266
```

Output
DFT formation energy	273	meV/atom

---

# 3
# Cr2CoCu

A relaxed Cr2CoCu crystal (PBE, Alexandria).

Cell and atoms, written as CIF:
```
data_Cr2CoCu
_chemical_formula_sum 'Cr2 Co1 Cu1'
_space_group_name_H-M_alt 'P 4 m m'
_space_group_IT_number 99
_cell_length_a 2.945
_cell_length_b 2.945
_cell_length_c 5.425
_cell_angle_alpha 90.00
_cell_angle_beta 90.00
_cell_angle_gamma 90.00
loop_
_space_group_symop_operation_xyz
'x,y,z'
'-y,x,z'
'-x,-y,z'
'y,-x,z'
'-x,y,z'
'y,x,z'
'x,-y,z'
'-y,-x,z'
loop_
_atom_site_label
_atom_site_type_symbol
_atom_site_fract_x
_atom_site_fract_y
_atom_site_fract_z
Cr1 Cr 0.000 0.000 0.000
Cr2 Cr 0.500 0.500 0.243
Co1 Co 0.500 0.500 0.762
Cu1 Cu 0.000 0.000 0.511
```

Output
DFT formation energy	206	meV/atom

---

# 4
# CrCo2Cu

A relaxed CrCo2Cu crystal (PBE, Alexandria).

Cell and atoms, written as CIF:
```
data_CrCo2Cu
_chemical_formula_sum 'Cr1 Co2 Cu1'
_space_group_name_H-M_alt 'P 4 m m'
_space_group_IT_number 99
_cell_length_a 2.471
_cell_length_b 2.471
_cell_length_c 7.380
_cell_angle_alpha 90.00
_cell_angle_beta 90.00
_cell_angle_gamma 90.00
loop_
_space_group_symop_operation_xyz
'x,y,z'
'-y,x,z'
'-x,-y,z'
'y,-x,z'
'-x,y,z'
'y,x,z'
'x,-y,z'
'-y,-x,z'
loop_
_atom_site_label
_atom_site_type_symbol
_atom_site_fract_x
_atom_site_fract_y
_atom_site_fract_z
Cr1 Cr 0.000 0.000 0.000
Co1 Co 0.000 0.000 0.522
Co2 Co 0.500 0.500 0.754
Cu1 Cu 0.500 0.500 0.265
```

Output
DFT formation energy	164	meV/atom

---

Repeat the second record exactly.
# CrCo2Cu

A relaxed CrCo2Cu crystal (PBE, Alexandria).

Cell and atoms, written as CIF:
```
data_CrCo2Cu
_chemical_formula_sum 'Cr1 Co2 Cu1'
_space_group_name_H-M_alt 'P 4 m m'
_space_group_IT_number 99
_cell_length_a 2.961
_cell_length_b 2.961
_cell_length_c 5.315
_cell_angle_alpha 90.00
_cell_angle_beta 90.00
_cell_angle_gamma 90.00
loop_
_space_group_symop_operation_xyz
'x,y,z'
'-y,x,z'
'-x,-y,z'
'y,-x,z'
'-x,y,z'
'y,x,z'
'x,-y,z'
'-y,-x,z'
loop_
_atom_site_label
_atom_site_type_symbol
_atom_site_fract_x
_atom_site_fract_y
_atom_site_fract_z
Cr1 Cr 0.000 0.000 0.000
Co1 Co 0.000 0.000 0.523
Co2 Co 0.500 0.500 0.755
Cu1 Cu 0.500 0.500 0.266
```

Output
DFT formation energy	273	meV/atom